Record 1
Here is Tm2MgCdPd4 after structural relaxation from the Alexandria database. Energies are from PBE-GGA.

abc: 4.7363 4.7363 23.2887
angles: 90.00 90.00 120.00
Space group R-3m (No. 166, hexagonal axes)
Unique sites:
Tm1 0.0000 0.0000 0.2484 [6 per cell]
Mg1 0.0000 0.0000 0.0000 [3 per cell]
Cd1 0.0000 0.0000 0.5000 [3 per cell]
Pd1 0.0000 0.0000 0.1222 [6 per cell]
Pd2 0.0000 0.0000 0.3720 [6 per cell]

Computed properties:
For the formation energy, the calculation gives -804 meV/atom.

---

Record 2
Here is Mg5ZnCd2Pd2 after structural relaxation from the Alexandria database. Energies are from PBE-GGA.

abc: 10.2727 10.2727 3.7749
angles: 90.00 90.00 90.00
Space group P4/mbm (No. 127)
Unique sites:
Mg1 0.0000 0.5000 0.0000 [2 per cell]
Mg2 0.0779 0.1992 0.0000 [8 per cell]
Zn1 0.0000 0.0000 0.5000 [2 per cell]
Cd1 0.1691 0.6691 0.5000 [4 per cell]
Pd1 0.1271 0.3729 0.5000 [4 per cell]

Computed properties:
For the formation energy, the calculation gives -278 meV/atom.

---

Record 3
Here is Mg2Zn2CdPd2 after structural relaxation from the Alexandria database. Energies are from PBE-GGA.

abc: 7.7636 4.4677 7.5527
angles: 90.00 110.07 90.00
Space group C2/m (No. 12)
Unique sites:
Mg1 0.1327 0.0000 0.3999 [4 per cell]
Zn1 0.1017 0.5000 0.8031 [4 per cell]
Cd1 0.0000 0.0000 0.0000 [2 per cell]
Pd1 0.2358 0.5000 0.2117 [4 per cell]

Computed properties:
For the formation energy, the calculation gives -398 meV/atom.

---

Record 4
Here is Pm4Mg2Cd3 after structural relaxation from the Alexandria database. Energies are from PBE-GGA.

abc: 10.8550 5.0486 9.7608
angles: 90.00 112.28 90.00
Space group C2/m (No. 12)
Unique sites:
Pm1 0.0436 0.0000 0.3465 [4 per cell]
Pm2 0.1543 0.5000 0.8931 [4 per cell]
Mg1 0.2080 0.5000 0.2646 [4 per cell]
Cd1 0.0000 0.0000 0.0000 [2 per cell]
Cd2 0.1447 0.5000 0.5597 [4 per cell]

Computed properties:
For the formation energy, the calculation gives -189 meV/atom.

---

Record 5
Here is PmMg11Cd after structural relaxation from the Alexandria database. Energies are from PBE-GGA.

abc: 5.9508 14.3954 7.7458
angles: 90.00 112.06 90.00
Space group C2/m (No. 12)
Unique sites:
Pm1 0.0000 0.0000 0.0000 [2 per cell]
Mg1 0.0000 0.0000 0.5000 [2 per cell]
Mg2 0.1054 0.3945 0.2138 [8 per cell]
Mg3 0.1761 0.1743 0.3520 [8 per cell]
Mg4 0.2500 0.2500 0.0000 [4 per cell]
Cd1 0.0000 0.5000 0.5000 [2 per cell]

Computed properties:
For the formation energy, the calculation gives -71 meV/atom.

---

Record 6
Here is Pm2MgCd16 after structural relaxation from the Alexandria database. Energies are from PBE-GGA.

abc: 10.0624 10.0624 15.0126
angles: 90.00 90.00 120.00
Space group R3m (No. 160, hexagonal axes)
Unique sites:
Pm1 0.0000 0.0000 0.0000 [3 per cell]
Pm2 0.0000 0.0000 0.3366 [3 per cell]
Mg1 0.0000 0.0000 0.7640 [3 per cell]
Cd1 0.0000 0.0000 0.5628 [3 per cell]
Cd2 0.9997 0.2985 0.6697 [18 per cell]
Cd3 0.9999 0.5000 0.1692 [9 per cell]
Cd4 0.0213 0.5106 0.8167 [9 per cell]
Cd5 0.1696 0.3392 0.8574 [9 per cell]

Computed properties:
For the formation energy, the calculation gives -154 meV/atom.